Here is an optimized crystal structure of ScFeOF2 from the Alexandria database. Energies are from GGA+U.

Cell lengths 4.115, 4.115, 4.057 Å; angles 90.00, 90.00, 90.00 degrees
Site moments in Bohr magnetons follow the coordinates.
Fractional positions:
F 0.000 0.500 0.000  0.01
Sc 0.000 0.000 0.000  0.00
Fe 0.500 0.500 0.500  2.93
F 0.500 0.000 0.000  0.01
O 0.000 0.000 0.500  -0.01

Properties
E_tot = -6.453 eV per atom
Volume = 68.7 Å³/cell
Distance to the lowest polymorph of the same formula = 0 meV per atom